(1)
Computed, not measured: a geometry-optimized Ce3ThSc2 structure at the PBE level of DFT.

Computed properties:
Energy relative to the elements (eV/atom): 0.072
Fermi-level density of states (states/eV per cell): 58.11

a b c (Å): 4.7308 14.1229 9.7935
angles (deg): 90.00 90.00 90.00
Last column: nearest neighbours and their distance in Å.
Space group Imma (No. 74)
Inequivalent atoms, fractional coordinates:
Ce 0.0000 0.0843 0.1313 x8  6 Ce 3.32-3.51, 5 Sc 3.33-3.44, 1 Th 3.41
Ce 0.0000 0.2500 0.3743 x4  8 Ce 3.33-3.39, 2 Th 3.39, 2 Sc 3.42
Th 0.0000 0.2500 0.8778 x4  6 Sc 3.36-3.44, 4 Ce 3.39-3.41, 2 Th 3.44
Sc 0.0000 0.0811 0.6243 x8  6 Ce 3.33-3.44, 3 Sc 3.34-3.41, 3 Th 3.36-3.44

=====

(2)
Computed, not measured: a geometry-optimized CeTh4Sc7 structure at the PBE level of DFT.

Computed properties:
Energy relative to the elements (eV/atom): 0.269
Fermi-level density of states (states/eV per cell): 44.92

a b c (Å): 11.3841 5.5269 12.0600
angles (deg): 90.00 116.23 90.00
Last column: nearest neighbours and their distance in Å.
Space group C2/m (No. 12)
Inequivalent atoms, fractional coordinates:
Ce 0.0000 0.0000 0.0000 x2  4 Sc 2.76-2.97
Th 0.0913 0.5000 0.2960 x4  4 Sc 3.11-3.45, 1 Th 3.44
Th 0.1454 0.0000 0.7720 x4  7 Sc 3.18-3.37, 1 Th 3.44
Sc 0.0000 0.5000 0.0000 x2  2 Ce 2.76, 2 Sc 3.00
Sc 0.1285 0.0000 0.4869 x4  4 Sc 3.08-3.18, 3 Th 3.11-3.36
Sc 0.1672 0.5000 0.6273 x4  4 Sc 3.17-3.29, 3 Th 3.34-3.45
Sc 0.2127 0.5000 0.9167 x4  1 Ce 2.97, 4 Sc 3.00-3.30, 3 Th 3.18-3.27

=====

(3)
Computed, not measured: a geometry-optimized Ce12Th3Sc structure at the PBE level of DFT.

Computed properties:
Energy relative to the elements (eV/atom): 0.032
Fermi-level density of states (states/eV per cell): 37.21

a b c (Å): 4.7823 4.7823 19.2684
angles (deg): 90.00 90.00 90.00
Last column: nearest neighbours and their distance in Å.
Space group P4/mmm (No. 123)
Inequivalent atoms, fractional coordinates:
Ce 0.0000 0.0000 0.0000 x1  8 Ce 3.37, 4 Sc 3.38
Ce 0.0000 0.0000 0.2502 x2  4 Th 3.38, 8 Ce 3.38-3.42
Ce 0.0000 0.0000 0.5000 x1  4 Th 3.38, 8 Ce 3.40
Ce 0.0000 0.5000 0.1232 x4  2 Sc 3.37, 8 Ce 3.37-3.42, 2 Th 3.38
Ce 0.0000 0.5000 0.3744 x4  8 Ce 3.38-3.40, 4 Th 3.40-3.42
Th 0.5000 0.5000 0.2475 x2  12 Ce 3.38-3.42
Th 0.5000 0.5000 0.5000 x1  12 Ce 3.38-3.40
Sc 0.5000 0.5000 0.0000 x1  12 Ce 3.37-3.38

=====

Q: What is the energy relative to the elements in the third record?
A: 0.032 eV/atom